Entry 1:
# Sr3DyPa3N8

An optimized crystal structure of Sr3DyPa3N8 (GGA-PBE, the Alexandria database).

POSCAR file:
```
Sr3DyPa3N8
1.0
7.146 0.000 0.000
-3.573 6.188 -0.021
0.000 -4.105 6.029
Sr N Pa Dy
3 8 3 1
Cartesian
-1.786 3.094 -0.011 Sr
0.000 0.000 0.000 Sr
1.786 3.094 -0.011 Sr
0.000 0.074 4.106 N
1.735 3.079 4.096 N
0.000 2.069 1.747 N
-1.735 3.079 4.095 N
3.573 2.010 1.902 N
3.573 0.015 4.261 N
1.838 -0.995 1.912 N
5.308 -0.995 1.913 N
-1.786 1.042 3.004 Pa
3.573 -2.053 3.015 Pa
1.787 1.042 3.004 Pa
0.000 -2.053 3.014 Dy
```

Computed properties:
E_form (uncorrected), kJ/mol of atoms: -129.7
E_tot, eV per atom: -8.327



Entry 2:
# LiYC

An optimized crystal structure of LiYC (GGA-PBE, the Alexandria database).

POSCAR file:
```
LiYC
1.0
-0.036 1.085 -3.744
-1.573 -3.407 1.057
-6.202 3.167 0.978
Y Li C
2 2 2
Cartesian
-3.899 1.299 -1.615 Y
-1.310 -1.782 -0.504 Y
-5.023 2.565 0.792 Li
-1.922 0.981 0.303 Li
-6.129 2.438 -1.264 C
-3.540 -0.643 -0.152 C
```

Computed properties:
E_tot, eV per atom: -5.889
Polymorph energy (0 for the lowest one), meV/atom: 113
DFT formation energy, kcal/mol of atoms: -0.50



Entry 3:
# HgAsSe2

An optimized crystal structure of HgAsSe2 (GGA-PBE, the Alexandria database).

POSCAR file:
```
HgAsSe2
1.0
-1.301 -2.658 -1.039
2.086 1.299 -1.949
7.669 -5.523 4.530
Se Hg As
2 1 1
Cartesian
0.170 -0.123 0.101 Se
2.508 -2.203 -0.244 Se
6.117 -4.802 1.887 Hg
3.493 -2.516 2.063 As
```

Computed properties:
E_form (uncorrected), kJ/mol of atoms: 35.7
E_tot, eV per atom: -2.611
Polymorph energy (0 for the lowest one), meV/atom: 436



Entry 4:
# LiNp3Se2O6

An optimized crystal structure of LiNp3Se2O6 (GGA-PBE, the Alexandria database).

POSCAR file:
```
LiNp3Se2O6
1.0
-5.696 -1.538 0.898
1.981 -3.866 5.943
-3.482 5.983 0.493
Np O Se Li
3 6 2 1
Cartesian
0.991 -1.933 2.972 Np
-3.598 0.289 3.667 Np
-4.589 2.222 0.696 Np
-3.848 3.725 1.895 O
-3.348 -3.146 5.440 O
-3.061 2.189 4.255 O
-3.323 0.743 1.592 O
-4.135 -1.610 3.079 O
-3.873 -0.165 5.743 O
-6.149 1.239 2.856 Se
-1.047 -0.660 4.479 Se
-2.848 -0.769 0.449 Li
```

Computed properties:
E_form (uncorrected), kJ/mol of atoms: -221.7
E_tot, eV per atom: -8.752



Entry 5:
# Zn2InRu

An optimized crystal structure of Zn2InRu (GGA-PBE, the Alexandria database).

POSCAR file:
```
Zn2InRu
1.0
3.967 0.000 0.000
0.000 3.968 0.000
0.000 0.000 4.014
In Zn Ru
1 2 1
Cartesian
1.983 0.000 2.007 In
0.000 0.000 0.000 Zn
1.983 1.984 0.000 Zn
0.000 1.984 2.007 Ru
```

Computed properties:
E_tot, eV per atom: -3.610
DFT formation energy, kcal/mol of atoms: 0.71



Entry 6:
# Ba2PaPdO6

An optimized crystal structure of Ba2PaPdO6 (GGA-PBE, the Alexandria database).

POSCAR file:
```
Ba2PaPdO6
1.0
-3.144 2.654 1.446
0.146 -1.951 3.898
5.834 5.524 2.546
O Ba Pa Pd
6 2 1 1
Cartesian
-1.572 1.327 0.723 O
2.857 4.477 4.573 O
-0.022 1.751 3.317 O
2.990 1.787 3.222 O
0.073 -0.975 1.949 O
1.345 4.089 1.996 O
1.693 1.603 0.739 Ba
4.140 3.920 1.807 Ba
-1.499 0.352 2.672 Pa
1.418 3.114 3.945 Pd
```

Computed properties:
E_form (uncorrected), kJ/mol of atoms: -243.0
E_tot, eV per atom: -7.347



Entry 7:
# Al2AgPb

An optimized crystal structure of Al2AgPb (GGA-PBE, the Alexandria database).

POSCAR file:
```
Al2AgPb
1.0
3.191 0.000 0.000
0.000 3.262 0.000
0.000 0.000 8.052
Al Pb Ag
2 1 1
Cartesian
0.000 0.000 7.704 Al
0.000 0.000 4.374 Al
1.595 1.631 2.013 Pb
1.595 1.631 6.039 Ag
```

Computed properties:
E_tot, eV per atom: -3.349
DFT formation energy, kcal/mol of atoms: 3.74



Entry 8:
# LiPrNdGa

An optimized crystal structure of LiPrNdGa (GGA-PBE, the Alexandria database).

POSCAR file:
```
LiPrNdGa
1.0
-1.232 -2.891 4.244
2.049 -4.831 0.589
3.629 -0.892 3.731
Ga Nd Pr Li
1 1 1 1
Cartesian
3.335 -6.461 6.422 Ga
2.223 -4.307 4.282 Nd
0.000 0.000 0.000 Pr
1.112 -2.154 2.141 Li
```

Computed properties:
E_tot, eV per atom: -3.914
DFT formation energy, kcal/mol of atoms: -6.74



Entry 9:
# Ac4La2Nd

An optimized crystal structure of Ac4La2Nd (GGA-PBE, the Alexandria database).

POSCAR file:
```
Ac4La2Nd
1.0
-6.276 -3.540 1.510
0.727 -9.567 -1.458
-0.356 -3.105 9.188
La Nd Ac
4 2 8
Cartesian
-4.722 -4.432 5.880 La
-3.138 -1.770 0.755 La
-2.952 -8.106 4.620 La
-1.183 -11.780 3.361 La
-2.774 -6.554 0.026 Nd
0.364 -4.784 -0.729 Nd
-5.093 -11.206 6.403 Ac
-1.624 -5.433 6.803 Ac
-4.280 -10.779 2.438 Ac
-0.922 -8.885 1.630 Ac
-5.261 -4.975 2.366 Ac
-4.983 -7.327 7.611 Ac
-0.644 -11.237 6.875 Ac
-0.812 -5.006 2.837 Ac
```

Computed properties:
E_tot, eV per atom: -4.213
Polymorph energy (0 for the lowest one), meV/atom: 0
DFT formation energy, kcal/mol of atoms: 5.16



Entry 10:
# LaCe5Sn6

An optimized crystal structure of LaCe5Sn6 (GGA-PBE, the Alexandria database).

POSCAR file:
```
LaCe5Sn6
1.0
-4.432 -0.978 -2.047
3.367 1.862 -8.177
2.491 -7.593 4.289
Sn Ce La
6 5 1
Cartesian
-1.367 -0.019 -3.086 Sn
-0.077 -4.774 -3.605 Sn
1.503 -1.935 -2.329 Sn
0.302 0.904 -7.138 Sn
-1.754 -5.701 0.466 Sn
3.180 -1.008 -6.400 Sn
0.119 -1.938 -5.386 Ce
1.306 -4.770 -0.549 Ce
2.985 -3.821 -4.635 Ce
-1.559 -2.887 -1.299 Ce
1.683 0.931 -4.088 Ce
0.000 0.000 0.000 La
```

Computed properties:
E_tot, eV per atom: -5.495
DFT formation energy, kcal/mol of atoms: -14.08



Entry 11:
# Dy2SnGe3Pt4

An optimized crystal structure of Dy2SnGe3Pt4 (GGA-PBE, the Alexandria database).

POSCAR file:
```
Dy2SnGe3Pt4
1.0
4.238 0.000 0.000
0.000 4.238 0.000
0.000 0.000 10.895
Pt Ge Dy Sn
4 3 2 1
Cartesian
2.119 0.000 7.074 Pt
0.000 0.000 0.000 Pt
0.000 2.119 3.821 Pt
2.119 2.119 0.000 Pt
0.000 2.119 1.415 Ge
2.119 0.000 9.480 Ge
0.000 0.000 5.447 Ge
2.119 0.000 2.514 Dy
0.000 2.119 8.381 Dy
2.119 2.119 5.447 Sn
```

Computed properties:
E_tot, eV per atom: -5.969
DFT formation energy, kcal/mol of atoms: -19.52



Entry 12:
# SrMnFe2

An optimized crystal structure of SrMnFe2 (GGA-PBE, the Alexandria database).

POSCAR file:
```
SrMnFe2
1.0
8.971 -0.045 -0.026
8.498 2.874 -0.026
8.498 1.377 2.523
Fe Sr Mn
2 1 1
Cartesian
25.537 4.137 2.430 Fe
13.413 2.173 1.276 Fe
19.475 3.155 1.853 Sr
6.492 1.052 0.618 Mn
```

Computed properties:
E_tot, eV per atom: -5.938
DFT formation energy, kcal/mol of atoms: 23.20



Computed Fermi-level density of states, in the same sequence as the records: 0.14 0.00 2.49 16.82 3.29 2.19 1.36 4.36 23.43 33.17 6.32 4.97 states/eV/cell.